Entry 1:
# FeSb, optimized geometry, DFT PBEsol
# - Space-group type: Cm (8)
# - Final energy: -78.786 eV per cell
data_FeSb
_cell_length_a 12.4978
_cell_length_b 3.1191
_cell_length_c 6.2673
_cell_angle_alpha 90.00
_cell_angle_beta 117.43
_cell_angle_gamma 90.00
_space_group_name_H-M_alt 'P 1'
_space_group_IT_number 1
_space_group_name_Hall 'P 1'
loop_
_atom_site_label
_atom_site_fract_x
_atom_site_fract_y
_atom_site_fract_z
Fe1 0.0000 0.0000 0.0000
Fe2 0.0494 0.5000 0.3255
Fe3 0.3971 0.5000 0.3245
Fe4 0.5000 0.5000 0.0000
Fe5 0.5494 0.0000 0.3255
Fe6 0.8971 0.0000 0.3245
Sb1 0.0423 0.5000 0.7239
Sb2 0.2234 0.0000 0.3295
Sb3 0.3212 0.0000 0.9223
Sb4 0.5423 0.0000 0.7239
Sb5 0.7234 0.5000 0.3295
Sb6 0.8212 0.5000 0.9223

---

Entry 2:
# TlInBr, optimized geometry, DFT PBEsol
# - Space-group type: Fmm2 (42)
# - Excess energy over the best structure of this formula in the dataset: 0 meV/atom
data_TlInBr
_cell_length_a 3.9689
_cell_length_b 5.9649
_cell_length_c 14.4487
_cell_angle_alpha 90.00
_cell_angle_beta 90.00
_cell_angle_gamma 90.00
_space_group_name_H-M_alt 'P 1'
_space_group_IT_number 1
_space_group_name_Hall 'P 1'
loop_
_atom_site_label
_atom_site_fract_x
_atom_site_fract_y
_atom_site_fract_z
Tl1 0.0000 0.0000 0.0000
Tl2 0.0000 0.5000 0.5000
Tl3 0.5000 0.0000 0.5000
Tl4 0.5000 0.5000 0.0000
In1 0.0000 0.0000 0.3204
In2 0.0000 0.5000 0.8204
In3 0.5000 0.0000 0.8204
In4 0.5000 0.5000 0.3204
Br1 0.0000 0.0000 0.6704
Br2 0.0000 0.5000 0.1704
Br3 0.5000 0.0000 0.1704
Br4 0.5000 0.5000 0.6704

---

Entry 3:
# KTi3Ag, optimized geometry, DFT PBEsol
# - Space-group type: Pm-3m (221)
# - Excess energy over the best structure of this formula in the dataset: 599 meV/atom
# - Formation energy from the elements: 1.865 eV per atom
data_KTi3Ag
_cell_length_a 4.4479
_cell_length_b 4.4479
_cell_length_c 4.4479
_cell_angle_alpha 90.00
_cell_angle_beta 90.00
_cell_angle_gamma 90.00
_space_group_name_H-M_alt 'P 1'
_space_group_IT_number 1
_space_group_name_Hall 'P 1'
loop_
_atom_site_label
_atom_site_fract_x
_atom_site_fract_y
_atom_site_fract_z
K1 0.0000 0.0000 0.0000
Ti1 0.0000 0.0000 0.5000
Ti2 0.0000 0.5000 0.0000
Ti3 0.5000 0.0000 0.0000
Ag1 0.5000 0.5000 0.5000

---

Entry 4:
# Sr5Tl24, optimized geometry, DFT PBEsol
# - Space-group type: I-43m (217)
# - Formation energy from the elements: -0.193 eV per atom
data_Sr5Tl24
_cell_length_a 10.3210
_cell_length_b 10.3210
_cell_length_c 10.3210
_cell_angle_alpha 109.47
_cell_angle_beta 109.47
_cell_angle_gamma 109.47
_space_group_name_H-M_alt 'P 1'
_space_group_IT_number 1
_space_group_name_Hall 'P 1'
loop_
_atom_site_label
_atom_site_fract_x
_atom_site_fract_y
_atom_site_fract_z
Sr1 0.0000 0.0000 0.0000
Sr2 0.0000 0.0000 0.6136
Sr3 0.0000 0.6136 0.0000
Sr4 0.3864 0.3864 0.3864
Sr5 0.6136 0.0000 0.0000
Tl1 0.0000 0.1927 0.3744
Tl2 0.0000 0.3744 0.1927
Tl3 0.0000 0.3968 0.6748
Tl4 0.0000 0.6748 0.3968
Tl5 0.1817 0.8073 0.8073
Tl6 0.1927 0.0000 0.3744
Tl7 0.1927 0.3744 0.0000
Tl8 0.2780 0.6032 0.6032
Tl9 0.3252 0.3252 0.7220
Tl10 0.3252 0.7220 0.3252
Tl11 0.3744 0.0000 0.1927
Tl12 0.3744 0.1927 0.0000
Tl13 0.3968 0.0000 0.6748
Tl14 0.3968 0.6748 0.0000
Tl15 0.6032 0.2780 0.6032
Tl16 0.6032 0.6032 0.2780
Tl17 0.6256 0.6256 0.8183
Tl18 0.6256 0.8183 0.6256
Tl19 0.6748 0.0000 0.3968
Tl20 0.6748 0.3968 0.0000
Tl21 0.7220 0.3252 0.3252
Tl22 0.8073 0.1817 0.8073
Tl23 0.8073 0.8073 0.1817
Tl24 0.8183 0.6256 0.6256

---

Entry 5:
# LiCu2Ru, optimized geometry, DFT PBEsol
# - Space-group type: C2/m (12)
# - Excess energy over the best structure of this formula in the dataset: 144 meV/atom
# - Formation energy from the elements: 0.217 eV per atom
data_LiCu2Ru
_cell_length_a 8.7014
_cell_length_b 2.4300
_cell_length_c 4.6053
_cell_angle_alpha 90.00
_cell_angle_beta 97.01
_cell_angle_gamma 90.00
_space_group_name_H-M_alt 'P 1'
_space_group_IT_number 1
_space_group_name_Hall 'P 1'
loop_
_atom_site_label
_atom_site_fract_x
_atom_site_fract_y
_atom_site_fract_z
Li1 0.0000 0.0000 0.0000
Li2 0.5000 0.5000 0.0000
Cu1 0.2460 0.0000 0.7493
Cu2 0.2540 0.5000 0.2507
Cu3 0.7460 0.5000 0.7493
Cu4 0.7540 0.0000 0.2507
Ru1 0.0000 0.5000 0.5000
Ru2 0.5000 0.0000 0.5000

---

Entry 6:
# HfNb2Tl, optimized geometry, DFT PBEsol
# - Space-group type: Fm-3m (225)
# - Formation energy from the elements: 0.311 eV per atom
data_HfNb2Tl
_cell_length_a 6.7517
_cell_length_b 6.7517
_cell_length_c 6.7517
_cell_angle_alpha 90.00
_cell_angle_beta 90.00
_cell_angle_gamma 90.00
_space_group_name_H-M_alt 'P 1'
_space_group_IT_number 1
_space_group_name_Hall 'P 1'
loop_
_atom_site_label
_atom_site_fract_x
_atom_site_fract_y
_atom_site_fract_z
Hf1 0.0000 0.0000 0.0000
Hf2 0.0000 0.5000 0.5000
Hf3 0.5000 0.0000 0.5000
Hf4 0.5000 0.5000 0.0000
Nb1 0.2500 0.2500 0.2500
Nb2 0.2500 0.2500 0.7500
Nb3 0.2500 0.7500 0.2500
Nb4 0.2500 0.7500 0.7500
Nb5 0.7500 0.2500 0.2500
Nb6 0.7500 0.2500 0.7500
Nb7 0.7500 0.7500 0.2500
Nb8 0.7500 0.7500 0.7500
Tl1 0.0000 0.0000 0.5000
Tl2 0.0000 0.5000 0.0000
Tl3 0.5000 0.0000 0.0000
Tl4 0.5000 0.5000 0.5000

---

Entry 7:
# CrPHO5, optimized geometry, DFT PBEsol
# - Space-group type: P-1 (2)
# - Final energy: -120.716 eV per cell
data_CrPHO5
_cell_length_a 5.1162
_cell_length_b 5.1323
_cell_length_c 7.0351
_cell_angle_alpha 104.89
_cell_angle_beta 107.53
_cell_angle_gamma 101.88
_space_group_name_H-M_alt 'P 1'
_space_group_IT_number 1
_space_group_name_Hall 'P 1'
loop_
_atom_site_label
_atom_site_fract_x
_atom_site_fract_y
_atom_site_fract_z
Cr1 0.0000 0.0000 0.0000
Cr2 0.0000 0.0000 0.5000
P1 0.3220 0.6748 0.2636
P2 0.6780 0.3252 0.7364
H1 0.3307 0.9595 0.8115
H2 0.6693 0.0405 0.1885
O1 0.1123 0.6904 0.3798
O2 0.1186 0.9425 0.7654
O3 0.2410 0.3745 0.1070
O4 0.3218 0.8898 0.1414
O5 0.3686 0.2474 0.5757
O6 0.6314 0.7526 0.4243
O7 0.6782 0.1102 0.8586
O8 0.7590 0.6255 0.8930
O9 0.8814 0.0575 0.2346
O10 0.8877 0.3096 0.6202

---

Entry 8:
# TaZnIr, optimized geometry, DFT PBEsol
# - Space-group type: P-6m2 (187)
# - Formation energy from the elements: -0.352 eV per atom
data_TaZnIr
_cell_length_a 4.3077
_cell_length_b 4.3077
_cell_length_c 2.7879
_cell_angle_alpha 90.00
_cell_angle_beta 90.00
_cell_angle_gamma 120.00
_space_group_name_H-M_alt 'P 1'
_space_group_IT_number 1
_space_group_name_Hall 'P 1'
loop_
_atom_site_label
_atom_site_fract_x
_atom_site_fract_y
_atom_site_fract_z
Ta1 0.0000 0.0000 0.0000
Zn1 0.3333 0.6667 0.5000
Ir1 0.6667 0.3333 0.5000

---

Entry 9:
# MnFe3, optimized geometry, DFT PBEsol
# - Space-group type: P-6m2 (187)
# - Formation energy from the elements: -0.008 eV per atom
data_MnFe3
_cell_length_a 2.4302
_cell_length_b 2.4302
_cell_length_c 7.7271
_cell_angle_alpha 90.00
_cell_angle_beta 90.00
_cell_angle_gamma 120.00
_space_group_name_H-M_alt 'P 1'
_space_group_IT_number 1
_space_group_name_Hall 'P 1'
loop_
_atom_site_label
_atom_site_fract_x
_atom_site_fract_y
_atom_site_fract_z
Mn1 0.0000 0.0000 0.0000
Fe1 0.0000 0.0000 0.5000
Fe2 0.6667 0.3333 0.2509
Fe3 0.6667 0.3333 0.7491

---

Entry 10:
# TaCoRe2Bi, optimized geometry, DFT PBEsol
# - Space-group type: P4/mmm (123)
# - Formation energy from the elements: 1.601 eV per atom
data_TaCoRe2Bi
_cell_length_a 4.4506
_cell_length_b 4.4506
_cell_length_c 4.6112
_cell_angle_alpha 90.00
_cell_angle_beta 90.00
_cell_angle_gamma 90.00
_space_group_name_H-M_alt 'P 1'
_space_group_IT_number 1
_space_group_name_Hall 'P 1'
loop_
_atom_site_label
_atom_site_fract_x
_atom_site_fract_y
_atom_site_fract_z
Ta1 0.0000 0.0000 0.0000
Co1 0.5000 0.5000 0.5000
Re1 0.0000 0.5000 0.5000
Re2 0.5000 0.0000 0.5000
Bi1 0.5000 0.5000 0.0000

---

Entry 11:
# ZnTc2Mo, optimized geometry, DFT PBEsol
# - Space-group type: Cmmm (65)
# - Formation energy from the elements: 0.132 eV per atom
data_ZnTc2Mo
_cell_length_a 3.0353
_cell_length_b 4.3213
_cell_length_c 8.7347
_cell_angle_alpha 90.00
_cell_angle_beta 90.00
_cell_angle_gamma 90.00
_space_group_name_H-M_alt 'P 1'
_space_group_IT_number 1
_space_group_name_Hall 'P 1'
loop_
_atom_site_label
_atom_site_fract_x
_atom_site_fract_y
_atom_site_fract_z
Zn1 0.0000 0.0000 0.0000
Zn2 0.5000 0.5000 0.0000
Tc1 0.0000 0.5000 0.2509
Tc2 0.0000 0.5000 0.7491
Tc3 0.5000 0.0000 0.2509
Tc4 0.5000 0.0000 0.7491
Mo1 0.0000 0.0000 0.5000
Mo2 0.5000 0.5000 0.5000

---

Entry 12:
# TaIr2W, optimized geometry, DFT PBEsol
# - Space-group type: Pmm2 (25)
# - Excess energy over the best structure of this formula in the dataset: 35 meV/atom
# - Formation energy from the elements: -0.413 eV per atom
data_TaIr2W
_cell_length_a 2.7842
_cell_length_b 4.5179
_cell_length_c 4.8230
_cell_angle_alpha 90.00
_cell_angle_beta 90.00
_cell_angle_gamma 90.00
_space_group_name_H-M_alt 'P 1'
_space_group_IT_number 1
_space_group_name_Hall 'P 1'
loop_
_atom_site_label
_atom_site_fract_x
_atom_site_fract_y
_atom_site_fract_z
Ta1 0.0000 0.0000 0.0000
Ir1 0.5000 0.0000 0.4997
Ir2 0.5000 0.5000 0.8637
W1 0.0000 0.5000 0.3646

---

V in Å³/atom, matching the order above: 18.069; 28.505; 17.599; 29.184; 12.081; 19.236; 10.124; 14.934; 9.880; 18.268; 14.321; 15.166